No. 1
A plane-wave DFT calculation with PBE-GGA was carried out for a relaxed structure of HgGeBi.

Calculated values
* distance to the lowest polymorph of the same formula: 0.000 eV/f.u.
* space-group type: F-43m, No. 216

```
HgGeBi
1.0
0.000 3.516 3.516
3.516 0.000 3.516
3.516 3.516 0.000
Hg Ge Bi
1 1 1
Direct
0.000 0.000 0.000
0.750 0.750 0.750
0.500 0.500 0.500
```

***

No. 2
A plane-wave DFT calculation with PBE-GGA was carried out for a relaxed structure of PrAl.

Calculated values
* uncorrected energy: -4.64 eV per atom
* space-group type: Pbcm, No. 57

```
PrAl
1.0
6.026 0.000 0.000
0.000 11.906 0.000
0.000 0.000 5.793
Pr Al
8 8
Direct
0.096 0.167 0.250
0.096 0.333 0.750
0.336 0.010 0.750
0.336 0.490 0.250
0.664 0.510 0.750
0.664 0.990 0.250
0.904 0.667 0.250
0.904 0.833 0.750
0.168 0.602 0.750
0.168 0.898 0.250
0.426 0.750 0.000
0.426 0.750 0.500
0.574 0.250 0.000
0.574 0.250 0.500
0.832 0.102 0.750
0.832 0.398 0.250
```

***

No. 3
A plane-wave DFT calculation with PBE-GGA was carried out for a relaxed structure of Cd2P2O7.

Calculated values
* uncorrected energy: -6.14 eV per atom
* space-group type: C2, No. 5

```
Cd2P2O7
1.0
4.961 -2.512 0.000
4.961 2.512 0.000
-1.878 0.000 6.071
Cd P O
2 2 7
Direct
0.187 0.187 0.221
0.813 0.813 0.779
0.101 0.113 0.705
0.887 0.899 0.295
0.168 0.796 0.208
0.204 0.832 0.792
0.343 0.091 0.611
0.607 0.052 0.124
0.829 0.171 0.500
0.909 0.657 0.389
0.948 0.393 0.876
```

***

No. 4
A plane-wave DFT calculation with PBE-GGA was carried out for a relaxed structure of YFe2Ir.

Calculated values
* energy of formation from the pure elements: 0.026 eV per atom
* space-group type: F-43m, No. 216

```
YFe2Ir
1.0
0.000 3.179 3.179
3.179 0.000 3.179
3.179 3.179 0.000
Y Fe Ir
1 2 1
Direct
0.000 0.000 0.000
0.500 0.500 0.500
0.750 0.750 0.750
0.250 0.250 0.250
```

***

No. 5
A plane-wave DFT calculation with PBE-GGA was carried out for a relaxed structure of Y3CuTe5.

Calculated values
* distance to the lowest polymorph of the same formula: 1.334 eV/f.u.
* space-group type: P-62m, No. 189

```
Y3CuTe5
1.0
8.583 0.000 0.000
-4.292 7.433 0.000
0.000 0.000 3.773
Y Cu Te
3 1 5
Direct
0.000 0.636 0.000
0.364 0.364 0.000
0.636 0.000 0.000
0.000 0.000 0.000
0.000 0.242 0.500
0.242 0.000 0.500
0.333 0.667 0.500
0.667 0.333 0.500
0.758 0.758 0.500
```

***

No. 6
A plane-wave DFT calculation with PBE-GGA was carried out for a relaxed structure of PaCo5P2.

Calculated values
* uncorrected energy: -7.66 eV per atom
* space-group type: Immm, No. 71

```
PaCo5P2
1.0
-1.797 3.145 4.412
1.797 -3.145 4.412
1.797 3.145 -4.412
Pa Co P
1 5 2
Direct
0.000 0.000 0.000
0.159 0.354 0.805
0.451 0.646 0.805
0.500 0.000 0.500
0.549 0.354 0.195
0.841 0.646 0.195
0.259 0.759 0.500
0.741 0.241 0.500
```

***

No. 7
A plane-wave DFT calculation with PBE-GGA was carried out for a relaxed structure of TbTaN2O.

Calculated values
* uncorrected energy: -9.60 eV per atom
* space-group type: P1, No. 1

```
TbTaN2O
1.0
5.521 0.000 0.000
0.002 9.747 0.000
0.003 3.042 9.261
Tb Ta N O
8 8 16 8
Direct
0.000 0.000 0.000
0.001 0.499 0.504
0.464 0.256 0.743
0.472 0.760 0.245
0.496 0.062 0.438
0.504 0.564 0.938
0.965 0.308 0.195
0.970 0.804 0.699
0.002 0.415 0.846
0.002 0.651 0.097
0.465 0.150 0.090
0.494 0.421 0.335
0.500 0.657 0.588
0.501 0.907 0.853
0.962 0.151 0.588
0.994 0.897 0.359
0.082 0.016 0.489
0.084 0.517 0.988
0.174 0.535 0.276
0.175 0.729 0.468
0.178 0.231 0.969
0.271 0.791 0.020
0.273 0.985 0.217
0.275 0.482 0.719
0.582 0.547 0.456
0.584 0.052 0.955
0.674 0.837 0.472
0.675 0.030 0.669
0.676 0.530 0.168
0.772 0.581 0.728
0.773 0.278 0.422
0.774 0.781 0.922
0.176 0.044 0.774
0.269 0.286 0.530
0.365 0.264 0.244
0.368 0.767 0.741
0.677 0.336 0.985
0.769 0.091 0.226
0.866 0.808 0.201
0.867 0.299 0.708
```

***

No. 8
A plane-wave DFT calculation with PBE-GGA was carried out for a relaxed structure of BaNdAgTe2S.

Calculated values
* uncorrected energy: -4.71 eV per atom
* space-group type: Cmcm, No. 63

```
BaNdAgTe2S
1.0
2.247 -7.503 0.000
2.247 7.503 0.000
0.000 0.000 10.985
Ba Nd Ag Te S
2 2 2 4 2
Direct
0.227 0.773 0.750
0.773 0.227 0.250
0.500 0.500 0.000
0.500 0.500 0.500
0.023 0.977 0.250
0.977 0.023 0.750
0.145 0.855 0.057
0.145 0.855 0.443
0.855 0.145 0.557
0.855 0.145 0.943
0.430 0.570 0.250
0.570 0.430 0.750
```

***

No. 9
A plane-wave DFT calculation with PBE-GGA was carried out for a relaxed structure of SrDySi3.

Calculated values
* uncorrected energy: -4.65 eV per atom
* space-group type: I4mm, No. 107

```
SrDySi3
1.0
-2.110 2.110 6.616
2.110 -2.110 6.616
2.110 2.110 -6.616
Sr Dy Si
1 1 3
Direct
0.000 0.000 0.000
0.674 0.674 0.000
0.323 0.823 0.500
0.437 0.437 0.000
0.823 0.323 0.500
```

***

No. 10
A plane-wave DFT calculation with PBE-GGA was carried out for a relaxed structure of BaTmB4.

Calculated values
* distance to the lowest polymorph of the same formula: 0.416 eV/f.u.
* space-group type: Immm, No. 71

```
BaTmB4
1.0
-1.579 3.843 3.958
1.579 -3.843 3.958
1.579 3.843 -3.958
Ba Tm B
1 1 4
Direct
0.000 0.000 0.000
0.500 0.500 0.000
0.021 0.752 0.269
0.484 0.752 0.731
0.516 0.248 0.269
0.979 0.248 0.731
```

***

No. 11
A plane-wave DFT calculation with PBE-GGA was carried out for a relaxed structure of CuReMoAs.

Calculated values
* distance to the lowest polymorph of the same formula: 0.000 eV/f.u.
* space-group type: F-43m, No. 216

```
CuReMoAs
1.0
0.000 3.092 3.092
3.092 0.000 3.092
3.092 3.092 0.000
Cu Re Mo As
1 1 1 1
Direct
0.000 0.000 0.000
0.500 0.500 0.500
0.250 0.250 0.250
0.750 0.750 0.750
```

***

No. 12
A plane-wave DFT calculation with PBE-GGA was carried out for a relaxed structure of Ir6PdS2.

Calculated values
* uncorrected energy: -7.09 eV per atom
* space-group type: P-1, No. 2

```
Ir6PdS2
1.0
3.857 0.000 0.000
-0.899 5.960 0.000
-0.414 -0.723 6.417
Ir Pd S
6 1 2
Direct
0.182 0.337 0.180
0.235 0.345 0.784
0.302 0.654 0.509
0.698 0.346 0.491
0.765 0.655 0.216
0.818 0.663 0.820
0.500 0.000 0.000
0.150 0.963 0.700
0.850 0.037 0.300
```

***

No. 13
A plane-wave DFT calculation with PBE-GGA was carried out for a relaxed structure of Co2NiTe4.

Calculated values
* uncorrected energy: -4.78 eV per atom
* space-group type: P4_122, No. 91

```
Co2NiTe4
1.0
7.467 0.000 0.000
0.000 7.467 0.000
0.000 0.000 10.554
Co Ni Te
8 4 16
Direct
0.000 0.249 0.000
0.000 0.751 0.500
0.249 0.000 0.750
0.252 0.252 0.375
0.252 0.748 0.125
0.748 0.252 0.625
0.748 0.748 0.875
0.751 0.000 0.250
0.249 0.500 0.750
0.500 0.249 0.000
0.500 0.751 0.500
0.751 0.500 0.250
0.012 0.246 0.758
0.012 0.754 0.742
0.246 0.012 0.992
0.246 0.484 0.994
0.246 0.516 0.506
0.246 0.988 0.508
0.484 0.246 0.756
0.484 0.754 0.744
0.516 0.246 0.244
0.516 0.754 0.256
0.754 0.012 0.008
0.754 0.484 0.006
0.754 0.516 0.494
0.754 0.988 0.492
0.988 0.246 0.242
0.988 0.754 0.258
```

***

No. 14
A plane-wave DFT calculation with PBE-GGA was carried out for a relaxed structure of BeAlTcTe.

Calculated values
* distance to the lowest polymorph of the same formula: 0.693 eV/f.u.
* space-group type: F-43m, No. 216

```
BeAlTcTe
1.0
0.000 3.181 3.181
3.181 0.000 3.181
3.181 3.181 0.000
Be Al Tc Te
1 1 1 1
Direct
0.000 0.000 0.000
0.500 0.500 0.500
0.750 0.750 0.750
0.250 0.250 0.250
```

***

No. 15
A plane-wave DFT calculation with PBE-GGA was carried out for a relaxed structure of Zn2B.

Calculated values
* uncorrected energy: -2.65 eV per atom
* space-group type: Pmmn, No. 59

```
Zn2B
1.0
3.752 0.000 0.000
0.000 9.544 0.000
0.000 0.000 4.529
Zn B
8 4
Direct
0.250 0.058 0.181
0.250 0.250 0.701
0.250 0.442 0.181
0.250 0.750 0.650
0.750 0.250 0.350
0.750 0.558 0.819
0.750 0.750 0.299
0.750 0.942 0.819
0.250 0.663 0.104
0.250 0.837 0.104
0.750 0.163 0.896
0.750 0.337 0.896
```

***

No. 16
A plane-wave DFT calculation with PBE-GGA was carried out for a relaxed structure of Rb2GaCuCl6.

Calculated values
* uncorrected energy: -3.26 eV per atom
* space-group type: Fm-3m, No. 225

```
Rb2GaCuCl6
1.0
0.000 4.958 4.958
4.958 0.000 4.958
4.958 4.958 0.000
Rb Ga Cu Cl
2 1 1 6
Direct
0.250 0.250 0.250
0.750 0.750 0.750
0.000 0.000 0.000
0.500 0.500 0.500
0.246 0.246 0.754
0.246 0.754 0.246
0.246 0.754 0.754
0.754 0.246 0.246
0.754 0.246 0.754
0.754 0.754 0.246
```

***

No. 17
A plane-wave DFT calculation with PBE-GGA was carried out for a relaxed structure of Ho2ErAl2Cd3In.

Calculated values
* uncorrected energy: -3.35 eV per atom
* space-group type: Amm2, No. 38

```
Ho2ErAl2Cd3In
1.0
4.542 0.000 0.000
0.000 6.311 3.647
0.000 -6.311 3.647
Ho Er Al Cd In
2 1 2 3 1
Direct
0.000 0.219 0.781
0.000 0.781 0.219
0.000 0.656 0.656
0.500 0.552 0.885
0.500 0.885 0.552
0.500 0.219 0.474
0.500 0.474 0.219
0.500 0.963 0.963
0.000 0.219 0.219
```

***

No. 18
A plane-wave DFT calculation with PBE-GGA was carried out for a relaxed structure of CsKInAu3.

Calculated values
* distance to the lowest polymorph of the same formula: 0.020 eV/f.u.
* space-group type: Pmma, No. 51

```
CsKInAu3
1.0
5.742 0.000 0.000
0.000 6.854 0.000
0.000 0.000 9.383
Cs K In Au
2 2 2 6
Direct
0.250 0.000 0.132
0.750 0.000 0.868
0.250 0.500 0.368
0.750 0.500 0.632
0.250 0.500 0.918
0.750 0.500 0.082
0.000 0.000 0.500
0.250 0.219 0.709
0.250 0.781 0.709
0.500 0.000 0.500
0.750 0.219 0.291
0.750 0.781 0.291
```

***

No. 19
A plane-wave DFT calculation with PBE-GGA was carried out for a relaxed structure of NbCuS3F.

Calculated values
* uncorrected energy: -5.51 eV per atom
* space-group type: P-1, No. 2

```
NbCuS3F
1.0
4.758 0.000 0.000
1.307 6.938 0.000
0.758 2.432 7.215
Nb Cu S F
2 2 6 2
Direct
0.233 0.136 0.280
0.767 0.864 0.720
0.219 0.375 0.685
0.781 0.625 0.315
0.232 0.439 0.379
0.242 0.326 0.986
0.249 0.905 0.647
0.751 0.095 0.353
0.758 0.674 0.014
0.768 0.561 0.621
0.374 0.862 0.255
0.626 0.138 0.745
```

***

No. 20
A plane-wave DFT calculation with PBE-GGA was carried out for a relaxed structure of LaMgTaFe.

Calculated values
* distance to the lowest polymorph of the same formula: 0.186 eV/f.u.
* space-group type: F-43m, No. 216

```
LaMgTaFe
1.0
0.000 3.359 3.359
3.359 0.000 3.359
3.359 3.359 0.000
La Mg Ta Fe
1 1 1 1
Direct
0.000 0.000 0.000
0.750 0.750 0.750
0.250 0.250 0.250
0.500 0.500 0.500
```